(1)
DFT (GGA-PBE) results for SrSc2TaN after structural relaxation.

Properties
Its energy relative to the elements, uncorrected is 2.95 eV/atom.

Cell: 5.0968 4.8694 5.0968 Å, 90.00 90.00 90.00°
With the nearest neighbours (Å) after each atom.
Fractional coordinates of all 5 atoms:
Sr 0.0000 0.0000 0.0000  2 Ta 2.43, 4 Sc 2.55
Sc 0.0000 0.0000 0.5000  2 Sr 2.55
N 0.5000 0.5000 0.5000  8 Sc 3.52, 4 Ta 3.60
Sc 0.5000 0.0000 0.0000  2 Sr 2.55
Ta 0.0000 0.5000 0.0000  2 Sr 2.43

=====

(2)
DFT (GGA-PBE) results for Rb5MgSn6 after structural relaxation.

Properties
The value obtained for the formation energy is -125.3 meV/atom.

Cell: 9.9295 7.8072 8.2209 Å, 61.65 84.25 77.83°
With the nearest neighbours (Å) after each atom.
Fractional coordinates of all 12 atoms:
Sn 0.3422 0.0822 0.0000  3 Sn 2.95-3.13
Sn 0.7729 0.0695 0.2128  1 Mg 2.83, 2 Sn 2.95-3.08
Rb 0.0000 0.6665 0.6670  4 Sn 3.83-4.06
Rb 0.5000 0.5000 0.0000  6 Sn 3.64-3.91, 2 Rb 3.87
Rb 0.5000 0.7673 0.4653  6 Sn 3.71-4.03, 3 Rb 3.87-3.94
Rb 0.0000 0.3335 0.3330  4 Sn 3.83-4.06
Sn 0.6578 0.9178 0.0000  3 Sn 2.95-3.13
Rb 0.5000 0.2327 0.5347  6 Sn 3.71-4.03, 3 Rb 3.87-3.94
Sn 0.2271 0.9305 0.7872  1 Mg 2.83, 2 Sn 2.95-3.08
Sn 0.7729 0.2823 0.7872  1 Mg 2.83, 2 Sn 2.95-3.08
Mg 0.0000 0.0000 0.0000  4 Sn 2.83
Sn 0.2271 0.7177 0.2128  1 Mg 2.83, 2 Sn 2.95-3.08